Material: TbMgGa3
Method: DFT, PBE
State: optimized geometry

```
TbMgGa3
1.0
-3.304 2.316 -1.138
0.101 -1.688 -3.728
-7.544 -7.981 5.657
Tb Mg Ga
2 2 6
Direct
0.250 0.076 0.152
0.750 0.924 0.848
0.250 0.794 0.588
0.750 0.206 0.412
0.250 0.375 0.749
0.750 0.625 0.251
0.250 0.475 0.950
0.750 0.525 0.050
0.750 0.318 0.635
0.250 0.682 0.365
```

Properties
Crystal system = orthorhombic
Calculated formation energy = -2.240 eV per formula unit
Mass density = 6.23 g/cm³